(1)
LiTbU2P4 | PBE-GGA | optimized geometry

Results
Total magnetization: 3.7 Bohr magnetons per cell
Uncorrected energy: -7.293 eV/atom
Density: 7.264 g/cm³
Energy of formation: -0.948 eV/atom

Geometry as POSCAR:
```
LiTbU2P4
1.0
3.970 0.000 0.000
0.000 6.840 0.115
0.000 -2.396 6.407
U P Tb Li
2 4 1 1
direct
0.500 0.000 0.500 U
0.000 0.500 0.500 U
0.000 0.756 0.266 P
0.500 0.254 0.258 P
0.500 0.746 0.742 P
0.000 0.244 0.734 P
0.000 0.000 0.000 Tb
0.500 0.500 0.000 Li
```

=====

(2)
Dy5Tl2Se2 | PBE-GGA | optimized geometry

Results
Total magnetization: 0.0 Bohr magnetons per cell
Uncorrected energy: -4.670 eV/atom
ΔE_f (raw): -7.32 eV per formula unit
Density: 9.584 g/cm³

Geometry as POSCAR:
```
Dy5Tl2Se2
1.0
-6.665 -4.015 1.843
3.942 -3.894 5.770
-3.838 7.287 1.994
Dy Se Tl
10 4 4
direct
0.164 0.206 0.744 Dy
0.500 0.500 0.000 Dy
0.336 0.706 0.744 Dy
0.836 0.794 0.256 Dy
0.664 0.294 0.256 Dy
0.000 0.000 0.000 Dy
0.336 0.962 0.256 Dy
0.664 0.038 0.744 Dy
0.164 0.462 0.256 Dy
0.836 0.538 0.744 Dy
0.355 0.141 0.000 Se
0.645 0.859 0.000 Se
0.855 0.359 0.000 Se
0.145 0.641 0.000 Se
0.500 0.709 0.417 Tl
0.000 0.209 0.417 Tl
0.500 0.291 0.583 Tl
0.000 0.791 0.583 Tl
```

=====

(3)
SrHg2Rh | PBE-GGA | optimized geometry

Results
Total magnetization: 0.0 Bohr magnetons per cell
Uncorrected energy: -2.647 eV/atom
Density: 9.564 g/cm³
Energy of formation: -0.238 eV/atom

Geometry as POSCAR:
```
SrHg2Rh
1.0
-3.448 -0.879 -3.046
-1.836 -4.299 -0.292
-5.411 -0.409 2.660
Sr Hg Rh
1 2 1
direct
0.250 0.250 0.250 Sr
0.464 0.464 0.607 Hg
0.036 0.036 0.893 Hg
0.750 0.750 0.750 Rh
```

=====

Please write out number 3 again, unchanged.
SrHg2Rh | PBE-GGA | optimized geometry

Results
Total magnetization: 0.0 Bohr magnetons per cell
Uncorrected energy: -2.647 eV/atom
Density: 9.564 g/cm³
Energy of formation: -0.238 eV/atom

Geometry as POSCAR:
```
SrHg2Rh
1.0
-3.448 -0.879 -3.046
-1.836 -4.299 -0.292
-5.411 -0.409 2.660
Sr Hg Rh
1 2 1
direct
0.250 0.250 0.250 Sr
0.464 0.464 0.607 Hg
0.036 0.036 0.893 Hg
0.750 0.750 0.750 Rh
```

=====

The highest total magnetization belongs to which entry?
LiTbU2P4